Entry 1:
Entry from Alexandria: a geometry-optimized Zr2HIr structure (PBE-GGA).

abc: 3.5107 3.5107 18.7077
angles: 90.00 90.00 120.00
Closest atoms and distances in Å follow each position.
Space group R-3m (No. 166, hexagonal axes)
Inequivalent atoms, fractional coordinates:
1 Zr 0.0000 0.0000 0.2405  3 H 2.45, 3 Ir 2.67
2 H 0.0000 0.0000 0.5000  6 Zr 2.45
3 Ir 0.0000 0.0000 0.0000  6 Zr 2.67

Computed properties:
- Calculated volume: 199.7 Å³/cell
- Polymorph energy (0 for the lowest one): 32.3 kJ per mole of atoms
- Magnetization: 0.00 Bohr magnetons per cell
- Total DFT energy (no corrections): -91.15 eV per cell
- Crystal system: trigonal

=====

Entry 2:
Entry from Alexandria: a geometry-optimized ZrHIr3 structure (PBE-GGA).

abc: 10.5832 10.5832 10.5832
angles: 90.00 90.00 90.00
Closest atoms and distances in Å follow each position.
Space group Fd-3m (No. 227, origin choice 2)
Inequivalent atoms, fractional coordinates:
1 Zr 0.0000 0.0000 0.0000  6 Ir 2.71
2 H 0.0000 0.0000 0.5000  6 Ir 1.99
3 Ir 0.0642 0.3750 0.8750  2 H 1.99

Computed properties:
- Calculated volume: 1185.4 Å³/cell
- Polymorph energy (0 for the lowest one): 45.5 kJ per mole of atoms
- Magnetization: 0.00 Bohr magnetons per cell
- Total DFT energy (no corrections): -621.45 eV per cell
- Crystal system: cubic

=====

Entry 3:
Entry from Alexandria: a geometry-optimized Zr2H2Ir structure (PBE-GGA).

abc: 3.1594 3.1594 12.7203
angles: 90.00 90.00 90.00
Closest atoms and distances in Å follow each position.
Space group I4/mmm (No. 139)
Inequivalent atoms, fractional coordinates:
1 Zr 0.0000 0.0000 0.1403  4 H 2.11
2 H 0.0000 0.5000 0.2500  4 Zr 2.11, 4 H 2.23
3 Ir 0.0000 0.0000 0.5000  8 Zr 2.86, 4 Ir 3.16

Computed properties:
- Calculated volume: 127.0 Å³/cell
- Polymorph energy (0 for the lowest one): 0.0 kJ per mole of atoms
- Magnetization: 0.00 Bohr magnetons per cell
- Total DFT energy (no corrections): -71.87 eV per cell
- Crystal system: tetragonal

=====

Entry 4:
Entry from Alexandria: a geometry-optimized ZrHIr structure (PBE-GGA).

abc: 3.9588 3.9588 3.0939
angles: 90.00 90.00 120.00
Closest atoms and distances in Å follow each position.
Space group P-6m2 (No. 187)
Inequivalent atoms, fractional coordinates:
1 Zr 0.0000 0.0000 0.0000  6 H 2.76, 6 Ir 2.76
2 H 0.3333 0.6667 0.5000  3 Ir 2.29
3 Ir 0.6667 0.3333 0.5000  3 H 2.29

Computed properties:
- Calculated volume: 42.0 Å³/cell
- Polymorph energy (0 for the lowest one): 21.7 kJ per mole of atoms
- Magnetization: 0.00 Bohr magnetons per cell
- Total DFT energy (no corrections): -21.65 eV per cell
- Crystal system: hexagonal